This record from Alexandria via LeMat-Bulk describes an optimized crystal structure of AcCrSiO5. The functional is GGA+U.

The space group is No. 15. Its total energy is -8.00 eV per atom. The calculation puts the density of states at the Fermi level at 0.000 states/eV/f.u.

Unit cell a=5.712 b=5.712 c=7.169 alpha=102.92 beta=102.92 gamma=106.86
Each line ends with the local moment (μB).
Fractional coordinates of all 16 atoms:
Cr: 0.000 0.000 0.500  2.94
Cr: 0.000 0.000 0.000  2.94
O: 0.758 0.600 0.411  -0.01
O: 0.307 0.891 0.617  -0.01
O: 0.891 0.307 0.117  -0.01
O: 0.109 0.693 0.883  -0.01
O: 0.924 0.076 0.750  0.01
O: 0.400 0.242 0.089  -0.01
O: 0.076 0.924 0.250  0.01
O: 0.600 0.758 0.911  -0.01
O: 0.242 0.400 0.589  -0.01
O: 0.693 0.109 0.383  -0.01
Si: 0.688 0.312 0.250  0.00
Si: 0.312 0.688 0.750  0.00
Ac: 0.333 0.667 0.250  0.01
Ac: 0.667 0.333 0.750  0.01